# CsCa2Ga2, optimized geometry, DFT GGA-PBE
# formation energy = -0.081 eV per atom
# crystal system = tetragonal
# ΔE to the lowest computed polymorph = 44 meV/atom
data_CsCa2Ga2
_chemical_formula_sum 'Cs2 Ca4 Ga4'
_space_group_name_H-M_alt 'P 4/m b m'
_space_group_IT_number 127
_space_group_name_Hall '-P 4 2ab'
_cell_length_a 9.1410
_cell_length_b 9.1410
_cell_length_c 3.8955
_cell_angle_alpha 90.00
_cell_angle_beta 90.00
_cell_angle_gamma 90.00
loop_
_atom_site_label
_atom_site_fract_x
_atom_site_fract_y
_atom_site_fract_z
Cs1 0.0000 0.0000 0.0000
Ca1 0.1713 0.3287 0.5000
Ga1 0.1075 0.6075 0.0000

---

# NaPm, optimized geometry, DFT GGA-PBE
# formation energy = 0.214 eV per atom
# crystal system = orthorhombic
# ΔE to the lowest computed polymorph = 136 meV/atom
data_NaPm
_chemical_formula_sum 'Na2 Pm2'
_space_group_name_H-M_alt 'P m m n'
_space_group_IT_number 59
_cell_length_a 3.6367
_cell_length_b 5.7791
_cell_length_c 6.4919
_cell_angle_alpha 90.00
_cell_angle_beta 90.00
_cell_angle_gamma 90.00
loop_
_space_group_symop_operation_xyz
'x,y,z'
'-x,-y,-z'
'-x+1/2,-y+1/2,z'
'x+1/2,y+1/2,-z'
'x+1/2,-y,-z'
'-x+1/2,y,z'
'-x,y+1/2,-z'
'x,-y+1/2,z'
loop_
_atom_site_label
_atom_site_fract_x
_atom_site_fract_y
_atom_site_fract_z
Na1 0.2500 0.2500 0.0629
Pm1 0.2500 0.7500 0.4476

---

Look up the formation energy of the second one. 0.214 eV per atom

---

Copy entry 1 word for word.
# CsCa2Ga2, optimized geometry, DFT GGA-PBE
# formation energy = -0.081 eV per atom
# crystal system = tetragonal
# ΔE to the lowest computed polymorph = 44 meV/atom
data_CsCa2Ga2
_chemical_formula_sum 'Cs2 Ca4 Ga4'
_space_group_name_H-M_alt 'P 4/m b m'
_space_group_IT_number 127
_space_group_name_Hall '-P 4 2ab'
_cell_length_a 9.1410
_cell_length_b 9.1410
_cell_length_c 3.8955
_cell_angle_alpha 90.00
_cell_angle_beta 90.00
_cell_angle_gamma 90.00
loop_
_atom_site_label
_atom_site_fract_x
_atom_site_fract_y
_atom_site_fract_z
Cs1 0.0000 0.0000 0.0000
Ca1 0.1713 0.3287 0.5000
Ga1 0.1075 0.6075 0.0000

---

Look up the formation energy of the second one. 0.214 eV per atom

---

Which of these has the lowest ΔE to the lowest computed polymorph? CsCa2Ga2